# 1
VASP calculation (PBE) on an optimized crystal structure of HfZrSe2Br.

Geometry as CIF:
```
data_HfZrSe2Br
_chemical_formula_sum 'Hf1 Zr1 Se2 Br1'
_cell_length_a 5.181
_cell_length_b 4.875
_cell_length_c 5.181
_cell_angle_alpha 90.00
_cell_angle_beta 90.00
_cell_angle_gamma 90.00
_space_group_name_H-M_alt 'P 1'
_space_group_IT_number 1
loop_
_space_group_symop_operation_xyz
'x,y,z'
loop_
_atom_site_label
_atom_site_type_symbol
_atom_site_fract_x
_atom_site_fract_y
_atom_site_fract_z
Se1 Se 0.000 0.000 0.500
Se2 Se 0.500 0.000 0.000
Hf1 Hf 0.000 0.500 0.000
Br1 Br 0.000 0.000 0.000
Zr1 Zr 0.500 0.500 0.500
```

Output
The value obtained for the density of states at the Fermi level is 4.9 states/eV per cell. As for the crystal system: tetragonal. The value obtained for the formation energy from raw total energies is 4.3 eV/f.u.



# 2
VASP calculation (PBE) on an optimized crystal structure of Mg3Pd2Rh.

Geometry as CIF:
```
data_Mg3Pd2Rh
_chemical_formula_sum 'Mg6 Pd4 Rh2'
_cell_length_a 4.451
_cell_length_b 4.451
_cell_length_c 10.952
_cell_angle_alpha 90.00
_cell_angle_beta 90.00
_cell_angle_gamma 120.00
_space_group_name_H-M_alt 'P 1'
_space_group_IT_number 1
loop_
_space_group_symop_operation_xyz
'x,y,z'
loop_
_atom_site_label
_atom_site_type_symbol
_atom_site_fract_x
_atom_site_fract_y
_atom_site_fract_z
Mg1 Mg 0.333 0.667 0.417
Mg2 Mg 0.667 0.333 0.086
Mg3 Mg 0.000 0.000 0.747
Mg4 Mg 0.000 0.000 0.253
Mg5 Mg 0.333 0.667 0.914
Mg6 Mg 0.667 0.333 0.583
Pd1 Pd 0.000 0.000 0.500
Pd2 Pd 0.333 0.667 0.166
Pd3 Pd 0.667 0.333 0.834
Pd4 Pd 0.000 0.000 0.000
Rh1 Rh 0.333 0.667 0.667
Rh2 Rh 0.667 0.333 0.333
```

Output
The value obtained for the density of states at the Fermi level is 3.4 states/eV per cell. As for the crystal system: trigonal. The formation energy is -677 meV per atom.



# 3
VASP calculation (PBE) on an optimized crystal structure of Li2Cu2Rh.

Geometry as CIF:
```
data_Li2Cu2Rh
_chemical_formula_sum 'Li2 Cu2 Rh1'
_cell_length_a 3.374
_cell_length_b 3.374
_cell_length_c 6.409
_cell_angle_alpha 74.74
_cell_angle_beta 74.74
_cell_angle_gamma 90.00
_space_group_name_H-M_alt 'P 1'
_space_group_IT_number 1
loop_
_space_group_symop_operation_xyz
'x,y,z'
loop_
_atom_site_label
_atom_site_type_symbol
_atom_site_fract_x
_atom_site_fract_y
_atom_site_fract_z
Rh1 Rh 0.000 0.000 0.000
Cu1 Cu 0.403 0.403 0.194
Cu2 Cu 0.597 0.597 0.806
Li1 Li 0.750 0.250 0.500
Li2 Li 0.250 0.750 0.500
```

Output
The value obtained for the density of states at the Fermi level is 3.0 states/eV per cell. As for the crystal system: tetragonal. The formation energy is 246 meV per atom.



no.,spin magnetization (μB per atom)
1,0.000
2,0.000
3,0.000